! AcGe4 | Alexandria | PBE | optimized geometry; values from VASP
! ΔE to the lowest computed polymorph (meV per atom): 0
! Density of states at the Fermi level (states/eV per cell): 3.2
! Space-group type: C2/m, No. 12
! Formation energy from the elements (eV/atom): -0.259
&SYSTEM
  ibrav = 0, nat = 10, ntyp = 2
/
ATOMIC_SPECIES
Ge 72.64 Ge.upf
Ac 227.00 Ac.upf
CELL_PARAMETERS angstrom
5.7988 -0.6994 0.0000
-0.7779 6.5312 0.0000
0.0000 0.0000 6.3666
ATOMIC_POSITIONS angstrom
Ge -0.0047 5.4065 3.1835
Ac 0.0000 0.0000 0.0000
Ge -0.3888 3.2657 4.9145
Ge 5.4096 2.5661 1.4522
Ge 5.0256 0.4253 3.1832
Ge 2.1213 6.1814 1.7312
Ge 2.8996 -0.3496 4.6355
Ge 3.2836 1.7912 6.3665
Ac 2.5104 2.9159 3.1833
Ge 1.7372 4.0406 0.0002

! ScIOF2 | Alexandria | PBE | optimized geometry; values from VASP
! ΔE to the lowest computed polymorph (meV per atom): 0
! Density of states at the Fermi level (states/eV per cell): 2.0
! Space-group type: P4/mmm, No. 123
&SYSTEM
  ibrav = 0, nat = 5, ntyp = 4
/
ATOMIC_SPECIES
F 19.00 F.upf
O 16.00 O.upf
Sc 44.96 Sc.upf
I 126.90 I.upf
CELL_PARAMETERS angstrom
-0.8383 -1.3583 3.7542
-3.5018 -1.5922 -1.3580
2.1768 -3.9754 -0.9523
ATOMIC_POSITIONS angstrom
F -1.7509 -0.7961 -0.6790
F -0.4192 -0.6792 1.8771
O 1.0884 -1.9877 -0.4761
Sc 0.0000 0.0000 0.0000
I -1.0817 -3.4629 0.7219

! Mn3Se2S2 | Alexandria | PBE | optimized geometry; values from VASP
! ΔE to the lowest computed polymorph (meV per atom): 0
! Density of states at the Fermi level (states/eV per cell): 4.6
! Space-group type: C2/m, No. 12
&SYSTEM
  ibrav = 0, nat = 7, ntyp = 3
/
ATOMIC_SPECIES
S 32.06 S.upf
Mn 54.94 Mn.upf
Se 78.96 Se.upf
CELL_PARAMETERS angstrom
3.3948 0.0000 -0.9625
-0.7528 5.4574 -2.6551
0.0199 0.0607 6.5385
ATOMIC_POSITIONS angstrom
S -0.1735 4.3718 -0.6121
Mn 0.7189 1.1817 2.5358
Mn 1.9430 4.3364 0.3850
Mn 0.0000 0.0000 0.0000
S 2.8355 1.1463 3.5330
Se 1.9297 1.7042 0.3382
Se 0.7322 3.8139 2.5827

! CrPb2Au2 | Alexandria | PBE | optimized geometry; values from VASP
! ΔE to the lowest computed polymorph (meV per atom): 159
! Density of states at the Fermi level (states/eV per cell): 2.9
! Space-group type: I4/mmm, No. 139
! Formation energy from the elements (eV/atom): 0.345
&SYSTEM
  ibrav = 0, nat = 5, ntyp = 3
/
ATOMIC_SPECIES
Au 196.97 Au.upf
Pb 207.20 Pb.upf
Cr 52.00 Cr.upf
CELL_PARAMETERS angstrom
3.8087 0.0000 0.0000
0.0000 3.8087 0.0000
1.9043 1.9043 8.4046
ATOMIC_POSITIONS angstrom
Au 1.9043 3.8087 4.2023
Au 3.8087 1.9043 4.2023
Pb 1.9043 1.9043 1.6988
Cr 0.0000 0.0000 0.0000
Pb 3.8087 3.8087 6.7058

! LiSc2Os | Alexandria | PBE | optimized geometry; values from VASP
! ΔE to the lowest computed polymorph (meV per atom): 367
! Density of states at the Fermi level (states/eV per cell): 4.9
! Space-group type: R-3m, No. 166
! Formation energy from the elements (eV/atom): 0.036
&SYSTEM
  ibrav = 0, nat = 4, ntyp = 3
/
ATOMIC_SPECIES
Sc 44.96 Sc.upf
Li 6.94 Li.upf
Os 190.23 Os.upf
CELL_PARAMETERS angstrom
-3.9762 -7.6919 -3.9877
-0.8970 -8.2998 -4.6029
-2.1544 -9.1147 -1.7772
ATOMIC_POSITIONS angstrom
Sc -3.4145 -12.1983 -5.0374
Sc -0.0993 -0.3549 -0.1466
Li -1.7569 -6.2766 -2.5920
Os -5.2707 -18.8298 -7.7759

! Co2RuCl | Alexandria | PBE | optimized geometry; values from VASP
! ΔE to the lowest computed polymorph (meV per atom): 378
! Density of states at the Fermi level (states/eV per cell): 5.9
! Space-group type: Cmmm, No. 65
&SYSTEM
  ibrav = 0, nat = 4, ntyp = 3
/
ATOMIC_SPECIES
Co 58.93 Co.upf
Cl 35.45 Cl.upf
Ru 101.07 Ru.upf
CELL_PARAMETERS angstrom
4.6352 0.0079 -0.0183
-2.0310 4.1666 -0.0183
0.0144 0.0230 2.7974
ATOMIC_POSITIONS angstrom
Co 1.3021 2.0872 -0.0183
Cl -1.0083 2.0948 1.3896
Ru 2.3248 0.0155 1.3896
Co 0.0000 0.0000 0.0000

! Zn4CoPt15 | Alexandria | PBE | optimized geometry; values from VASP
! Density of states at the Fermi level (states/eV per cell): 20.5
! Space-group type: P4/mmm, No. 123
! Formation energy from the elements (eV/atom): -0.281
&SYSTEM
  ibrav = 0, nat = 20, ntyp = 3
/
ATOMIC_SPECIES
Pt 195.08 Pt.upf
Zn 65.41 Zn.upf
Co 58.93 Co.upf
CELL_PARAMETERS angstrom
3.9118 0.0000 0.0000
0.0000 3.9118 0.0000
0.0000 0.0000 19.7114
ATOMIC_POSITIONS angstrom
Pt 1.9559 1.9559 3.9032
Zn 0.0000 0.0000 7.8778
Pt 1.9559 0.0000 17.7919
Pt 0.0000 1.9559 1.9195
Pt 1.9559 0.0000 5.8893
Pt 1.9559 1.9559 15.8082
Pt 1.9559 0.0000 9.8557
Co 0.0000 0.0000 0.0000
Zn 0.0000 0.0000 3.9273
Zn 0.0000 0.0000 15.7841
Pt 1.9559 0.0000 1.9195
Pt 0.0000 1.9559 9.8557
Pt 0.0000 1.9559 17.7919
Pt 0.0000 1.9559 5.8893
Pt 0.0000 1.9559 13.8222
Pt 1.9559 0.0000 13.8222
Pt 1.9559 1.9559 11.8433
Pt 1.9559 1.9559 7.8681
Pt 1.9559 1.9559 0.0000
Zn 0.0000 0.0000 11.8336

! Nd6Ag2Pt | Alexandria | PBE | optimized geometry; values from VASP
! ΔE to the lowest computed polymorph (meV per atom): 17
! Density of states at the Fermi level (states/eV per cell): 24.6
! Space-group type: P2_1/c, No. 14
! Formation energy from the elements (eV/atom): -0.289
&SYSTEM
  ibrav = 0, nat = 18, ntyp = 3
/
ATOMIC_SPECIES
Nd 144.24 Nd.upf
Ag 107.87 Ag.upf
Pt 195.08 Pt.upf
CELL_PARAMETERS angstrom
-0.7760 1.1580 -6.3257
-2.1450 -7.6622 -1.1395
-10.0845 2.5357 1.9328
ATOMIC_POSITIONS angstrom
Nd -5.3432 -1.2606 -0.4743
Nd -11.6643 -2.0114 -4.3788
Nd -2.5978 -5.8613 -3.0558
Nd -8.9318 -1.8502 -1.4403
Nd -10.4078 1.8927 -2.4765
Ag -9.2917 0.0121 -4.7409
Pt -5.0423 1.2678 0.9664
Ag -3.7139 -3.9807 -0.7915
Ag -9.7476 -4.2893 -3.3084
Nd -7.6624 -2.7080 -5.0580
Nd -6.5700 0.6096 -3.2429
Ag -3.2580 0.3207 -2.2239
Nd -5.1726 -5.7364 -6.0451
Nd -4.0738 -2.1184 -4.0920
Nd -6.4356 -4.5782 -2.2894
Nd -7.8330 1.7678 0.5127
Pt -1.4605 -3.2521 -3.7326
Nd -1.3413 -1.9572 -1.1535